(1)
DFT (PBEsol) results for FeTcAg3 after structural relaxation.

Properties
Total DFT energy (no corrections)   -4.37 eV/atom

a b c (Å): 4.6199 4.6199 4.6199
angles (deg): 90.00 90.00 90.00
With the nearest neighbours (Å) after each atom.
Atoms (fractional coordinates):
Ag: 0.0000 0.0000 0.5000  2 Fe 2.31
Ag: 0.0000 0.5000 0.0000  2 Fe 2.31
Ag: 0.5000 0.0000 0.0000  2 Fe 2.31
Fe: 0.0000 0.0000 0.0000  6 Ag 2.31
Tc: 0.5000 0.5000 0.5000  12 Ag 3.27

(2)
DFT (PBEsol) results for CaZnPb3 after structural relaxation.

Properties
Total DFT energy (no corrections)   -2.36 eV/atom

a b c (Å): 5.7646 5.7646 5.7646
angles (deg): 90.00 90.00 90.00
With the nearest neighbours (Å) after each atom.
Atoms (fractional coordinates):
Zn: 0.5000 0.5000 0.5000  12 Pb 4.08
Ca: 0.0000 0.0000 0.0000  6 Pb 2.88
Pb: 0.5000 0.0000 0.0000  2 Ca 2.88
Pb: 0.0000 0.5000 0.0000  2 Ca 2.88
Pb: 0.0000 0.0000 0.5000  2 Ca 2.88

D(E_F) readings, ordered: 1.056 1.023 states/eV per atom
Calculated volume readings, ordered: 19.72 38.31 Å³ per atom
Magnetic moment readings, ordered: 6.4 0.0 μB/cell